VASP calculation (PBEsol) on PPbS2N after structural relaxation.

Properties
Its crystal system is tetragonal. As for the total energy: -3.39 eV per atom. Its space group is No. 123.

CIF file:
```
data_PPbS2N
_chemical_formula_sum 'P1 Pb1 S2 N1'
_symmetry_space_group_name_H-M 'P 1'
_symmetry_Int_Tables_number 1
_symmetry_space_group_name_Hall 'P 1'
_cell_length_a 5.204
_cell_length_b 5.204
_cell_length_c 5.315
_cell_angle_alpha 90.00
_cell_angle_beta 90.00
_cell_angle_gamma 90.00
loop_
_atom_site_label
_atom_site_type_symbol
_atom_site_fract_x
_atom_site_fract_y
_atom_site_fract_z
_atom_site_occupancy
P1 P 0.000 0.000 0.500 1
N1 N 0.500 0.500 0.500 1
Pb1 Pb 0.000 0.000 0.000 1
S1 S 0.000 0.500 0.000 1
S2 S 0.500 0.000 0.000 1
```